# 1
This record from Alexandria via LeMat-Bulk describes crystalline RbCdAg2Ge at its relaxed geometry. The functional is GGA-PBE.

The structure in POSCAR format:
```
RbCdAg2Ge
1.0
5.930 0.000 0.000
0.000 5.930 0.000
0.000 0.000 6.268
Rb Cd Ag Ge
1 1 2 1
direct
0.000 0.000 0.000 Rb
0.500 0.500 0.500 Cd
0.000 0.500 0.000 Ag
0.500 0.000 0.000 Ag
0.000 0.000 0.500 Ge
```

ΔE_f: 1.323 eV/atom
Fermi-level density of states: 1.008 states/eV per atom
Calculated total energy: -5.587 eV per cell

# 2
This record from Alexandria via LeMat-Bulk describes crystalline Ba8PdPt2 at its relaxed geometry. The functional is GGA-PBE.

The structure in POSCAR format:
```
Ba8PdPt2
1.0
8.619 -4.982 0.000
8.619 4.982 0.000
-0.001 0.000 6.777
Ba Pd Pt
8 1 2
direct
0.159 0.159 0.756 Ba
0.159 0.683 0.756 Ba
0.317 0.841 0.244 Ba
0.333 0.333 0.262 Ba
0.667 0.667 0.738 Ba
0.683 0.159 0.756 Ba
0.841 0.317 0.244 Ba
0.841 0.841 0.244 Ba
0.000 0.000 0.000 Pd
0.333 0.333 0.780 Pt
0.667 0.667 0.220 Pt
```

ΔE_f: -0.294 eV/atom
Fermi-level density of states: 0.816 states/eV per atom
Calculated total energy: -35.894 eV per cell

# 3
This record from Alexandria via LeMat-Bulk describes crystalline Na3SbTe2 at its relaxed geometry. The functional is GGA-PBE.

The structure in POSCAR format:
```
Na3SbTe2
1.0
-3.896 7.470 3.493
3.896 -7.470 3.493
3.896 7.470 -3.493
Na Sb Te
6 2 4
direct
0.026 0.750 0.276 Na
0.250 0.250 0.000 Na
0.474 0.750 0.724 Na
0.526 0.250 0.276 Na
0.750 0.750 0.000 Na
0.974 0.250 0.724 Na
0.000 0.500 0.500 Sb
0.500 0.000 0.500 Sb
0.137 0.209 0.346 Te
0.363 0.709 0.071 Te
0.637 0.291 0.929 Te
0.863 0.791 0.654 Te
```

Fermi-level density of states: 0.185 states/eV per atom
Formation energy (no corrections): -537.4 meV per atom
Calculated total energy: -35.174 eV per cell

# 4
This record from Alexandria via LeMat-Bulk describes crystalline Cs2KMg2 at its relaxed geometry. The functional is GGA-PBE.

The structure in POSCAR format:
```
Cs2KMg2
1.0
-2.271 2.271 15.033
2.271 -2.271 15.033
2.271 2.271 -15.033
Cs K Mg
2 1 2
direct
0.136 0.136 0.000 Cs
0.864 0.864 0.000 Cs
0.500 0.500 0.000 K
0.250 0.750 0.500 Mg
0.750 0.250 0.500 Mg
```

ΔE_f: 0.192 eV/atom
Fermi-level density of states: 0.879 states/eV per atom
Calculated total energy: -5.036 eV per cell

# 5
This record from Alexandria via LeMat-Bulk describes crystalline Nd2Ga5Pt5 at its relaxed geometry. The functional is GGA-PBE.

The structure in POSCAR format:
```
Nd2Ga5Pt5
1.0
4.256 0.000 0.000
0.000 5.438 0.000
0.000 0.000 9.653
Nd Ga Pt
2 5 5
direct
0.000 0.000 0.000 Nd
0.000 0.500 0.500 Nd
0.500 0.000 0.500 Ga
0.500 0.242 0.230 Ga
0.500 0.242 0.770 Ga
0.500 0.758 0.230 Ga
0.500 0.758 0.770 Ga
0.000 0.000 0.340 Pt
0.000 0.000 0.660 Pt
0.000 0.500 0.190 Pt
0.000 0.500 0.810 Pt
0.500 0.500 0.000 Pt
```

ΔE_f: -0.835 eV/atom
Fermi-level density of states: 0.426 states/eV per atom
Calculated total energy: -64.893 eV per cell

# 6
This record from Alexandria via LeMat-Bulk describes crystalline Er5ZnTe5 at its relaxed geometry. The functional is GGA-PBE.

The structure in POSCAR format:
```
Er5ZnTe5
1.0
6.815 -3.042 0.000
6.815 3.042 0.000
-2.715 0.000 8.038
Er Zn Te
5 1 5
direct
0.000 0.000 0.000 Er
0.340 0.340 0.161 Er
0.341 0.341 0.677 Er
0.659 0.659 0.323 Er
0.660 0.660 0.839 Er
0.500 0.500 0.000 Zn
0.164 0.164 0.825 Te
0.174 0.174 0.336 Te
0.500 0.500 0.500 Te
0.826 0.826 0.664 Te
0.836 0.836 0.175 Te
```

Fermi-level density of states: 0.447 states/eV per atom
Formation energy (no corrections): -1115.1 meV per atom
Calculated total energy: -52.063 eV per cell

> Among the records above, which one has the lowest calculated total energy?

Nd2Ga5Pt5

> Look up the Fermi-level density of states of the first one.

1.008 states/eV per atom

Repeat the sixth record exactly.
This record from Alexandria via LeMat-Bulk describes crystalline Er5ZnTe5 at its relaxed geometry. The functional is GGA-PBE.

The structure in POSCAR format:
```
Er5ZnTe5
1.0
6.815 -3.042 0.000
6.815 3.042 0.000
-2.715 0.000 8.038
Er Zn Te
5 1 5
direct
0.000 0.000 0.000 Er
0.340 0.340 0.161 Er
0.341 0.341 0.677 Er
0.659 0.659 0.323 Er
0.660 0.660 0.839 Er
0.500 0.500 0.000 Zn
0.164 0.164 0.825 Te
0.174 0.174 0.336 Te
0.500 0.500 0.500 Te
0.826 0.826 0.664 Te
0.836 0.836 0.175 Te
```

Fermi-level density of states: 0.447 states/eV per atom
Formation energy (no corrections): -1115.1 meV per atom
Calculated total energy: -52.063 eV per cell